# GGA-PBE RbNbTe2, relaxed
# Density of states at the Fermi level   0.65 states/eV per atom
# V   153.1 Å³/f.u.
# E   -4.69 eV per atom
# Energy relative to the elements, uncorrected   -364 meV per atom
# Space-group type   I-4m2 (119)
data_RbNbTe2
_chemical_formula_sum 'Rb2 Nb2 Te4'
_cell_length_a 4.552
_cell_length_b 4.555
_cell_length_c 14.765
_cell_angle_alpha 90.00
_cell_angle_beta 90.00
_cell_angle_gamma 90.00
_symmetry_space_group_name_H-M 'P 1'
_symmetry_Int_Tables_number 1
_symmetry_space_group_name_Hall 'P 1'
loop_
_atom_site_label
_atom_site_type_symbol
_atom_site_fract_x
_atom_site_fract_y
_atom_site_fract_z
Te1 Te 0.000 0.000 0.392
Nb1 Nb 0.000 0.500 0.290
Rb1 Rb 0.000 0.000 0.041
Nb2 Nb 0.500 0.000 0.790
Rb2 Rb 0.500 0.500 0.541
Te2 Te 0.500 0.500 0.188
Te3 Te 0.000 0.000 0.688
Te4 Te 0.500 0.500 0.892